1.
## Ac4NiS2Cl (PBE)

Data for crystalline Ac4NiS2Cl at its relaxed geometry.

Summary:
Symmetry: P2/m
Formation energy (no corrections): -1.403 eV per atom

Lattice parameters (Å, degrees): 7.612 4.188 7.673 90.00 108.79 90.00
Fractional positions:
Ac  0.231  0.000  0.238
Ac  0.239  0.500  0.738
Ac  0.761  0.500  0.262
Ac  0.769  0.000  0.762
Ni  0.000  0.500  0.000
S  0.000  0.000  0.500
S  0.500  0.500  0.500
Cl  0.500  0.000  0.000

=====

2.
## Ac4NiSe2Cl (PBE)

Data for crystalline Ac4NiSe2Cl at its relaxed geometry.

Summary:
Symmetry: P2/m
Formation energy (no corrections): -1.347 eV per atom

Lattice parameters (Å, degrees): 7.723 4.263 7.889 90.00 108.67 90.00
Fractional positions:
Ac  0.224  0.000  0.227
Ac  0.243  0.500  0.752
Ac  0.757  0.500  0.248
Ac  0.776  0.000  0.773
Ni  0.000  0.500  0.000
Se  0.000  0.000  0.500
Se  0.500  0.500  0.500
Cl  0.500  0.000  0.000

=====

3.
## Ac3NiSeCl (PBE)

Data for crystalline Ac3NiSeCl at its relaxed geometry.

Summary:
Symmetry: P2_1/m
Formation energy (no corrections): -1.067 eV per atom

Lattice parameters (Å, degrees): 8.962 4.298 9.993 90.00 102.03 90.00
Fractional positions:
Ac  0.054  0.250  0.336
Ac  0.226  0.250  0.995
Ac  0.378  0.750  0.604
Ac  0.622  0.250  0.396
Ac  0.774  0.750  0.005
Ac  0.946  0.750  0.664
Ni  0.165  0.250  0.635
Ni  0.835  0.750  0.365
Se  0.311  0.750  0.254
Se  0.689  0.250  0.746
Cl  0.411  0.750  0.899
Cl  0.589  0.250  0.101

=====

4.
## Ac6SiNi2Cl3 (PBE)

Data for crystalline Ac6SiNi2Cl3 at its relaxed geometry.

Summary:
Symmetry: C2/m
Formation energy (no corrections): -0.980 eV per atom

Lattice parameters (Å, degrees): 10.048 10.048 9.206 104.65 104.65 25.01
Fractional positions:
Ac  0.014  0.014  0.242
Ac  0.324  0.324  0.442
Ac  0.335  0.335  0.893
Ac  0.665  0.665  0.107
Ac  0.676  0.676  0.558
Ac  0.986  0.986  0.758
Si  0.500  0.500  0.000
Ni  0.171  0.171  0.334
Ni  0.829  0.829  0.666
Cl  0.152  0.152  0.823
Cl  0.500  0.500  0.500
Cl  0.848  0.848  0.177

=====

5.
## Ac3NiTeCl (PBE)

Data for crystalline Ac3NiTeCl at its relaxed geometry.

Summary:
Symmetry: P2_1/m
Formation energy (no corrections): -0.999 eV per atom

Lattice parameters (Å, degrees): 9.073 4.416 10.155 90.00 102.02 90.00
Fractional positions:
Ac  0.051  0.250  0.341
Ac  0.223  0.250  0.978
Ac  0.375  0.750  0.609
Ac  0.625  0.250  0.391
Ac  0.777  0.750  0.022
Ac  0.949  0.750  0.659
Ni  0.164  0.250  0.639
Ni  0.836  0.750  0.361
Te  0.314  0.750  0.252
Te  0.686  0.250  0.748
Cl  0.414  0.750  0.902
Cl  0.586  0.250  0.098

=====

6.
## Ac6TlNi2Cl3 (PBE)

Data for crystalline Ac6TlNi2Cl3 at its relaxed geometry.

Summary:
Symmetry: C2/m
Formation energy (no corrections): -0.894 eV per atom

Lattice parameters (Å, degrees): 10.785 10.785 9.334 102.77 102.77 22.87
Fractional positions:
Ac  0.028  0.028  0.283
Ac  0.316  0.316  0.427
Ac  0.337  0.337  0.875
Ac  0.663  0.663  0.125
Ac  0.684  0.684  0.573
Ac  0.972  0.972  0.717
Tl  0.500  0.500  0.000
Ni  0.171  0.171  0.349
Ni  0.829  0.829  0.651
Cl  0.183  0.183  0.863
Cl  0.500  0.500  0.500
Cl  0.817  0.817  0.137

=====

Density of states at the Fermi level values, unit states/eV/cell, following the record order: 5.33, 5.48, 7.26, 8.97, 8.56, 7.06.